# 1
The following is a PBE calculation of a relaxed Au2SeO crystal, from OQMD via LeMat-Bulk.

Structure (POSCAR):
```
Au2SeO
1.0
5.676 0.000 0.000
0.000 5.929 0.000
-0.073 0.000 11.136
Au Se O
8 4 4
Direct
0.012 0.000 0.016
0.024 0.884 0.695
0.409 0.177 0.503
0.412 0.458 0.151
0.588 0.958 0.849
0.591 0.677 0.497
0.976 0.384 0.305
0.988 0.500 0.984
0.327 0.143 0.289
0.327 0.174 0.718
0.673 0.643 0.711
0.673 0.674 0.282
0.242 0.265 0.008
0.244 0.735 0.012
0.756 0.235 0.988
0.758 0.765 0.992
```

Calculated values
SG: P2_1, No. 4
relative energy among the computed polymorphs: 10.8 kJ/mol of atoms

=====

# 2
The following is a PBE calculation of a relaxed TbAgS2 crystal, from OQMD via LeMat-Bulk.

Structure (POSCAR):
```
TbAgS2
1.0
6.888 0.000 0.000
0.000 6.998 0.000
-1.515 0.000 6.903
Tb Ag S
4 4 8
Direct
0.204 0.054 0.297
0.204 0.446 0.797
0.796 0.554 0.203
0.796 0.946 0.703
0.315 0.575 0.365
0.315 0.925 0.865
0.685 0.075 0.135
0.685 0.425 0.635
0.064 0.741 0.509
0.064 0.759 0.009
0.427 0.163 0.658
0.427 0.337 0.158
0.573 0.663 0.842
0.573 0.837 0.342
0.936 0.241 0.991
0.936 0.259 0.491
```

Calculated values
SG: P2_1/c, No. 14
total DFT energy (no corrections): -83.40 eV/cell
total magnetization: 0.00 μB per formula unit

=====

# 3
The following is a PBE calculation of a relaxed Y2Re2Ag crystal, from OQMD via LeMat-Bulk.

Structure (POSCAR):
```
Y2Re2Ag
1.0
0.000 6.585 8.686
2.424 0.000 8.686
2.424 6.585 0.000
Y Re Ag
4 4 2
Direct
0.000 0.000 0.000
0.000 0.000 0.500
0.000 0.500 0.000
0.500 0.000 0.000
0.288 0.462 0.288
0.462 0.288 0.462
0.538 0.712 0.538
0.712 0.538 0.712
0.125 0.125 0.125
0.875 0.875 0.875
```

Calculated values
ΔE_f: 6.00 eV/f.u.
SG: Fddd, No. 70
total magnetization: 0.01 μB per formula unit

=====

# 4
The following is a PBE calculation of a relaxed Nd2Sm2C2Cl3F2 crystal, from OQMD via LeMat-Bulk.

Structure (POSCAR):
```
Nd2Sm2C2Cl3F2
1.0
8.946 -1.903 0.000
8.946 1.903 0.000
-1.962 0.000 7.467
Nd Sm C Cl F
2 2 2 3 2
Direct
0.004 0.004 0.215
0.996 0.996 0.785
0.330 0.330 0.899
0.670 0.670 0.101
0.459 0.459 0.976
0.541 0.541 0.024
0.170 0.170 0.363
0.500 0.500 0.500
0.830 0.830 0.637
0.192 0.192 0.937
0.808 0.808 0.063
```

Calculated values
SG: C2/m, No. 12
total DFT energy (no corrections): -68.07 eV/cell
total magnetization: 0.00 μB per formula unit

=====

# 5
The following is a PBE calculation of a relaxed NbFeSi crystal, from OQMD via LeMat-Bulk.

Structure (POSCAR):
```
NbFeSi
1.0
0.000 2.828 2.828
2.828 0.000 2.828
2.828 2.828 0.000
Nb Fe Si
1 1 1
Direct
0.000 0.000 0.000
0.250 0.250 0.250
0.500 0.500 0.500
```

Calculated values
SG: F-43m, No. 216
total DFT energy (no corrections): -24.86 eV/cell
total magnetization: 0.88 μB per formula unit

=====

# 6
The following is a PBE calculation of a relaxed KAlCuS3 crystal, from OQMD via LeMat-Bulk.

Structure (POSCAR):
```
KAlCuS3
1.0
7.995 0.000 0.000
0.000 3.521 0.000
-3.864 0.000 9.322
K Al Cu S
2 2 2 6
Direct
0.246 0.250 0.273
0.754 0.750 0.727
0.335 0.750 0.884
0.665 0.250 0.116
0.089 0.250 0.602
0.911 0.750 0.398
0.119 0.250 0.839
0.221 0.750 0.537
0.464 0.750 0.134
0.536 0.250 0.866
0.779 0.250 0.463
0.881 0.750 0.161
```

Calculated values
SG: P2_1/m, No. 11
total DFT energy (no corrections): -51.61 eV/cell

=====

# 7
The following is a PBE calculation of a relaxed Cs2Cu3S4 crystal, from OQMD via LeMat-Bulk.

Structure (POSCAR):
```
Cs2Cu3S4
1.0
0.000 5.141 7.349
3.114 0.000 7.349
3.114 5.141 0.000
Cs Cu S
2 3 4
Direct
0.166 0.166 0.834
0.834 0.834 0.166
0.000 0.000 0.500
0.500 0.500 0.000
0.500 0.500 0.500
0.227 0.564 0.436
0.436 0.773 0.227
0.564 0.227 0.773
0.773 0.436 0.564
```

Calculated values
SG: Fmmm, No. 69
total DFT energy (no corrections): -33.71 eV/cell

=====

# 8
The following is a PBE calculation of a relaxed ScInHg2 crystal, from OQMD via LeMat-Bulk.

Structure (POSCAR):
```
ScInHg2
1.0
3.229 -5.526 0.000
3.229 5.526 0.000
0.000 0.000 5.030
Sc In Hg
2 2 4
Direct
0.161 0.839 0.750
0.839 0.161 0.250
0.343 0.657 0.250
0.657 0.343 0.750
0.150 0.335 0.750
0.335 0.150 0.250
0.665 0.850 0.750
0.850 0.665 0.250
```

Calculated values
SG: Cmcm, No. 63
total DFT energy (no corrections): -21.29 eV/cell
total magnetization: 0.00 μB per formula unit

=====

# 9
The following is a PBE calculation of a relaxed TbHo2Si4Ni4 crystal, from OQMD via LeMat-Bulk.

Structure (POSCAR):
```
TbHo2Si4Ni4
1.0
-2.012 3.286 6.644
2.012 -3.286 6.644
2.012 3.286 -6.644
Tb Ho Si Ni
1 2 4 4
Direct
0.000 0.000 0.000
0.371 0.871 0.500
0.629 0.129 0.500
0.218 0.218 0.000
0.313 0.500 0.813
0.687 0.500 0.187
0.782 0.782 0.000
0.019 0.322 0.696
0.374 0.678 0.696
0.626 0.322 0.304
0.981 0.678 0.304
```

Calculated values
SG: Immm, No. 71
total DFT energy (no corrections): -66.47 eV/cell
total magnetization: 0.00 μB per formula unit

=====

# 10
The following is a PBE calculation of a relaxed Li4CdAsPd2 crystal, from OQMD via LeMat-Bulk.

Structure (POSCAR):
```
Li4CdAsPd2
1.0
4.373 0.000 0.000
0.000 4.373 0.000
0.000 0.000 6.084
Li Cd As Pd
4 1 1 2
Direct
0.000 0.000 0.000
0.000 0.500 0.241
0.500 0.000 0.759
0.500 0.500 0.500
0.000 0.000 0.500
0.500 0.500 0.000
0.000 0.500 0.778
0.500 0.000 0.222
```

Calculated values
SG: P-4m2, No. 115
total DFT energy (no corrections): -27.65 eV/cell

=====

# 11
The following is a PBE calculation of a relaxed Tm2AgHg crystal, from OQMD via LeMat-Bulk.

Structure (POSCAR):
```
Tm2AgHg
1.0
5.129 0.000 0.000
0.000 5.129 0.000
0.000 0.000 3.626
Tm Ag Hg
2 1 1
Direct
0.000 0.500 0.000
0.500 0.000 0.000
0.000 0.000 0.500
0.500 0.500 0.500
```

Calculated values
ΔE_f: -1.68 eV/f.u.
SG: P4/mmm, No. 123
total magnetization: 0.00 μB per formula unit

=====

# 12
The following is a PBE calculation of a relaxed CuAgPtW crystal, from OQMD via LeMat-Bulk.

Structure (POSCAR):
```
CuAgPtW
1.0
0.000 3.128 3.128
3.128 0.000 3.128
3.128 3.128 0.000
Cu Ag Pt W
1 1 1 1
Direct
0.000 0.000 0.000
0.750 0.750 0.750
0.250 0.250 0.250
0.500 0.500 0.500
```

Calculated values
ΔE_f: 1.32 eV/f.u.
SG: F-43m, No. 216
relative energy among the computed polymorphs: 5.3 kJ/mol of atoms
total magnetization: 0.00 μB per formula unit